BaTlFeP after structural relaxation, computed with PBE.

Calculated values
The crystal system is tetragonal. The calculated formation energy comes out at -0.488 eV per atom.

Unit cell a=4.0616 b=4.0616 c=12.1725 alpha=90.00 beta=90.00 gamma=90.00
Closest atoms and distances in Å follow each position.
Atoms (fractional coordinates):
Ba 0.2500 0.2500 0.2232  4 P 3.33, 4 Fe 3.39
Ba 0.7500 0.7500 0.7768  4 P 3.33, 4 Fe 3.39
Tl 0.2500 0.7500 0.5000  4 Tl 2.87
Tl 0.7500 0.2500 0.5000  4 Tl 2.87
Fe 0.2500 0.7500 0.0000  4 P 2.28
Fe 0.7500 0.2500 0.0000  4 P 2.28
P 0.2500 0.2500 0.9150  4 Fe 2.28
P 0.7500 0.7500 0.0850  4 Fe 2.28